[1]
DFT (PBE) results for an optimized crystal structure of Ac2Pm3HoTe6.

The calculation puts the uncorrected formation energy at -1.392 eV per atom. The calculation puts the uncorrected energy at -125.21 eV for the cell shown. The value obtained for the density of states at the Fermi level is 0.57 states/eV/atom.

The space group is C2/m (No. 12) and the conventional cell measures 19.714, 4.497 and 9.161 Å, with angles of 90.00, 102.62 and 90.00 degrees. Symmetry generates all atoms from Ac at (0.166, 0.000, 0.333), Pm at (0.000, 0.500, 0.500), Pm at (0.174, 0.000, 0.838), Ho at (0.000, 0.500, 0.000), Te at (0.007, 0.000, 0.762), Te at (0.160, 0.500, 0.069) and Te at (0.163, 0.500, 0.594).

=====

[2]
DFT (PBE) results for an optimized crystal structure of AgTe2Os.

The calculation puts the uncorrected formation energy at 0.663 eV per atom. The offset from the most stable computed form is 0.440 eV/atom. The calculation puts the uncorrected energy at -35.43 eV for the cell shown. The value obtained for the density of states at the Fermi level is 0.96 states/eV/atom.

The space group is Cmm2 (No. 35) and the conventional cell measures 3.276, 5.229 and 10.629 Å, with angles of 90.00, 90.00 and 90.00 degrees. Symmetry generates all atoms from Ag at (0.000, 0.000, 0.000), Te at (0.000, 0.000, 0.593), Te at (0.000, 0.500, 0.246) and Os at (0.000, 0.500, 0.785).

=====

[3]
DFT (PBE) results for an optimized crystal structure of YHo2TeO8.

The calculation puts the uncorrected formation energy at -2.521 eV per atom. The calculation puts the uncorrected energy at -177.36 eV for the cell shown. The value obtained for the density of states at the Fermi level is 0.65 states/eV/atom.

The space group is Cmmm (No. 65) and the conventional cell measures 7.050, 7.149 and 6.861 Å, with angles of 90.00, 90.00 and 90.00 degrees. Symmetry generates all atoms from Y at (0.000, 0.000, 0.000), Ho at (0.000, 0.500, 0.252), Te at (0.000, 0.000, 0.500), O at (0.000, 0.183, 0.288), O at (0.190, 0.500, 0.000) and O at (0.224, 0.500, 0.500).

=====

[4]
DFT (PBE) results for an optimized crystal structure of Ni2AgTe.

The calculation puts the uncorrected formation energy at 0.138 eV per atom. The calculation puts the uncorrected energy at -17.00 eV for the cell shown. The value obtained for the density of states at the Fermi level is 0.58 states/eV/atom.

The space group is Pm (No. 6) and the conventional cell measures 3.546, 3.940 and 4.979 Å, with angles of 90.00, 110.71 and 90.00 degrees. Symmetry generates all atoms from Ni at (0.000, 0.000, 0.000), Ni at (0.165, 0.500, 0.333), Ag at (0.445, 0.500, 0.890) and Te at (0.718, 0.000, 0.438).